No. 1
## TbFe10Re2 (GGA-PBE)

Data for a geometry-optimized TbFe10Re2 structure.

Lattice parameters (Å, degrees): 6.4851 6.4851 6.4851 137.60 98.47 96.56
Atoms (fractional coordinates):
Tb 0.0000 0.0000 0.0000
Fe 0.0000 0.0000 0.5000
Fe 0.0000 0.5000 0.0000
Fe 0.2192 0.5000 0.7192
Fe 0.2308 0.7308 0.5000
Fe 0.3583 0.0000 0.3583
Fe 0.5000 0.0000 0.0000
Fe 0.5000 0.5000 0.5000
Fe 0.6417 0.0000 0.6417
Fe 0.7692 0.2692 0.5000
Fe 0.7808 0.5000 0.2808
Re 0.3581 0.3581 0.0000
Re 0.6419 0.6419 0.0000

- calculated density (g/cm3) = 10.56
- calculated total energy (eV per atom) = -8.813
- space-group type = Immm


No. 2
## Pm2NdRuO8 (GGA-PBE)

Data for a geometry-optimized Pm2NdRuO8 structure.

Lattice parameters (Å, degrees): 5.1770 6.9816 5.1808 90.00 90.17 90.00
Atoms (fractional coordinates):
Pm 0.0000 0.2486 0.0000
Pm 0.0000 0.7514 0.0000
Nd 0.5000 0.5000 0.5000
Ru 0.5000 0.0000 0.5000
O 0.1893 0.5000 0.8125
O 0.2441 0.0000 0.7575
O 0.3181 0.2037 0.3202
O 0.3181 0.7963 0.3202
O 0.6819 0.2037 0.6798
O 0.6819 0.7963 0.6798
O 0.7559 0.0000 0.2425
O 0.8107 0.5000 0.1875

- calculated density (g/cm3) = 5.88
- calculated total energy (eV per atom) = -7.552
- space-group type = P2/m
- E_form (uncorrected) (meV/atom) = -2284


No. 3
## Li2YRe (GGA-PBE)

Data for a geometry-optimized Li2YRe structure.

Lattice parameters (Å, degrees): 4.0949 4.0949 4.3046 90.00 90.00 90.00
Atoms (fractional coordinates):
Li 0.0000 0.5000 0.0000
Li 0.5000 0.0000 0.0000
Y 0.0000 0.0000 0.5000
Re 0.5000 0.5000 0.5000

- calculated density (g/cm3) = 6.65
- calculated total energy (eV per atom) = -5.142
- space-group type = P4/mmm
- energy above the lowest structure with this stoichiometry (meV/atom) = 154


No. 4
## Li2RhPb (GGA-PBE)

Data for a geometry-optimized Li2RhPb structure.

Lattice parameters (Å, degrees): 3.4160 3.4160 5.9018 90.00 90.00 90.00
Atoms (fractional coordinates):
Li 0.0000 0.0000 0.0000
Li 0.5000 0.5000 0.2396
Rh 0.5000 0.5000 0.7775
Pb 0.0000 0.0000 0.5310

- calculated density (g/cm3) = 7.81
- calculated total energy (eV per atom) = -3.905
- space-group type = P4mm